Material: Li2CaPrPb2
Method: DFT, PBE-GGA
State: relaxed Values from VASP.

```
&SYSTEM
  ibrav = 0, nat = 6, ntyp = 4
/
ATOMIC_SPECIES
Li 6.94 Li.upf
Ca 40.08 Ca.upf
Pr 140.91 Pr.upf
Pb 207.20 Pb.upf
ATOMIC_POSITIONS angstrom
Li 0.0000 2.8291 1.7607
Li 2.4501 1.4146 5.8608
Ca 0.0000 0.0000 0.0000
Pr 0.0000 0.0000 3.8107
Pb 0.0000 2.8291 5.6403
Pb 2.4501 1.4146 1.9811
CELL_PARAMETERS angstrom
4.9002 0.0000 0.0000
-2.4501 4.2437 0.0000
0.0000 0.0000 7.6215
```

## Properties
DOS(E_F) = 2.5 states/eV/f.u.
formation energy = -3.0 eV/f.u.
M_tot = 0.00 μB/f.u.